No. 1
First-principles (PBE) data for a relaxed HoHfNiIr crystal, as listed in Alexandria.

Cell lengths 4.6870, 4.6870, 4.6870 Å; angles 60.00, 60.00, 60.00 degrees
Positions (direct):
Ho 0.0000 0.0000 0.0000
Ni 0.2500 0.2500 0.2500
Hf 0.5000 0.5000 0.5000
Ir 0.7500 0.7500 0.7500

Results
**Theoretical density**: 13.56 Mg/m³
**Formation energy**: -0.6384 eV/atom
**SG**: F-43m, No. 216

=====

No. 2
First-principles (PBE) data for a relaxed Tb7Pr12Zr crystal, as listed in Alexandria.

Cell lengths 6.2711, 11.5528, 11.5528 Å; angles 116.80, 100.42, 100.42 degrees
Positions (direct):
Pr 0.4295 0.0004 0.3533
Pr 0.0881 0.1769 0.5887
Pr 0.9119 0.8231 0.4113
Pr 0.5705 0.9996 0.6467
Pr 0.9111 0.4117 0.8231
Pr 0.0761 0.6467 0.6471
Pr 0.5006 0.5887 0.4117
Pr 0.0889 0.5883 0.1769
Pr 0.5709 0.6471 0.0004
Pr 0.4994 0.4113 0.5883
Pr 0.9239 0.3533 0.3529
Pr 0.4291 0.3529 0.9996
Tb 0.5000 0.0000 0.0000
Tb 0.8860 0.0004 0.2422
Tb 0.6438 0.7578 0.7582
Tb 0.3562 0.2422 0.2418
Tb 0.8856 0.2418 0.9996
Tb 0.1140 0.9996 0.7578
Tb 0.1144 0.7582 0.0004
Zr 0.0000 0.0000 0.0000

Results
**Theoretical density**: 6.86 Mg/m³
**Formation energy**: 0.2018 eV/atom
**SG**: R-3m, No. 166

=====

No. 3
First-principles (PBE) data for a relaxed ZrSnRh3 crystal, as listed in Alexandria.

Cell lengths 7.4632, 7.3143, 7.3143 Å; angles 63.59, 90.00, 90.00 degrees
Positions (direct):
Sn 0.2500 0.5692 0.4308
Sn 0.2500 0.0939 0.9061
Sn 0.7500 0.9061 0.0939
Sn 0.7500 0.4308 0.5692
Rh 0.0000 0.3258 0.3258
Rh 0.5000 0.6742 0.6742
Rh 0.0585 0.9480 0.2728
Rh 0.9415 0.2728 0.9480
Rh 0.5585 0.2728 0.9480
Rh 0.0000 0.6742 0.6742
Rh 0.0585 0.7272 0.0520
Rh 0.5585 0.0520 0.7272
Rh 0.5000 0.3258 0.3258
Rh 0.4415 0.9480 0.2728
Rh 0.9415 0.0520 0.7272
Rh 0.4415 0.7272 0.0520
Zr 0.2500 0.4404 0.0122
Zr 0.7500 0.5596 0.9878
Zr 0.7500 0.0122 0.4404
Zr 0.2500 0.9878 0.5596

Results
**Theoretical density**: 9.63 Mg/m³
**Formation energy**: -0.4519 eV/atom
**SG**: Cmcm, No. 63
**Excess energy over the best structure of this formula in the dataset**: 0.000 eV per atom

=====

No. 4
First-principles (PBE) data for a relaxed RbTlGeF2 crystal, as listed in Alexandria.

Cell lengths 5.0261, 5.3513, 5.0261 Å; angles 90.00, 90.00, 90.00 degrees
Last column: magnetic moment on the atom in μB.
Positions (direct):
Tl 0.0000 0.0000 0.0000  -0.01
Rb 0.5000 0.5000 0.5000  0.04
Ge 0.0000 0.5000 0.0000  0.61
F 0.0000 0.0000 0.5000  0.03
F 0.5000 0.0000 0.0000  0.03

Results
**Theoretical density**: 4.92 Mg/m³
**Energy relative to the elements, uncorrected**: -1.0191 eV/atom
**SG**: P4/mmm, No. 123

=====

No. 5
First-principles (PBE) data for a relaxed MnV5Si4 crystal, as listed in Alexandria.

Cell lengths 3.3547, 6.1895, 6.8592 Å; angles 77.42, 104.15, 90.00 degrees
Last column: magnetic moment on the atom in μB.
Positions (direct):
Si 0.6794 0.0693 0.3587  0.00
Si 0.9538 0.7881 0.9075  -0.01
Si 0.0462 0.2119 0.0925  -0.01
Si 0.3206 0.9307 0.6413  0.00
V 0.8542 0.2197 0.7083  -0.02
V 0.2018 0.3703 0.4035  0.00
V 0.5000 0.5000 0.0000  0.14
V 0.7982 0.6297 0.5965  0.00
V 0.1458 0.7803 0.2917  -0.02
Mn 0.5000 0.0000 0.0000  1.19

Results
**Theoretical density**: 5.21 Mg/m³
**Energy relative to the elements, uncorrected**: -0.0955 eV/atom
**SG**: C2/m, No. 12

=====

No. 6
First-principles (PBE) data for a relaxed ErZn2Ru crystal, as listed in Alexandria.

Cell lengths 4.5771, 4.5771, 4.5771 Å; angles 60.00, 60.00, 60.00 degrees
Positions (direct):
Zn 0.2500 0.2500 0.2500
Zn 0.7500 0.7500 0.7500
Er 0.0000 0.0000 0.0000
Ru 0.5000 0.5000 0.5000

Results
**Theoretical density**: 9.77 Mg/m³
**Formation energy**: -0.1674 eV/atom
**SG**: Fm-3m, No. 225